CaMnV3 | PBE | relaxed

* excess energy over the best structure of this formula in the dataset: 1.543 eV/atom
* crystal system: cubic
* energy of formation from the pure elements: 2.2117 eV per atom

Lattice parameters (Å, degrees): 4.571 4.571 4.571 90.00 90.00 90.00
Fractional coordinates of all 5 atoms:
Ca: 0.000 0.000 0.000
Mn: 0.500 0.500 0.500
V: 0.000 0.000 0.500
V: 0.000 0.500 0.000
V: 0.500 0.000 0.000

=====

Li2AgAu | PBE | relaxed

* excess energy over the best structure of this formula in the dataset: 0.066 eV/atom
* crystal system: orthorhombic
* energy of formation from the pure elements: -0.3284 eV per atom

Lattice parameters (Å, degrees): 2.837 4.168 5.527 90.00 90.00 90.00
Fractional coordinates of all 4 atoms:
Li: 0.000 0.000 0.000
Li: 0.500 0.500 0.292
Ag: 0.000 0.000 0.505
Au: 0.500 0.500 0.802

=====

Which formula does entry 1 have? CaMnV3

=====

Look up the excess energy over the best structure of this formula in the dataset of the second one. 0.066 eV/atom

=====

Which of these has the highest energy of formation from the pure elements? CaMnV3